First-principles (PBE) data for crystalline Sm12CoSn6 at its relaxed geometry, as listed in Alexandria via LeMat-Bulk.

The space group is R-3 (No. 148, hexagonal axes) and the conventional cell measures 13.2639, 13.2639 and 12.4784 Å, with angles of 90.00, 90.00 and 120.00 degrees. The inequivalent atoms are Sm at (0.0324, 0.1987, 0.3942), Sm at (0.0676, 0.1923, 0.8808), Co at (0.0000, 0.0000, 0.0000) and Sn at (0.0468, 0.4283, 0.3066).



First-principles (PBE) data for crystalline Sm3CoSn at its relaxed geometry, as listed in Alexandria via LeMat-Bulk.

The value obtained for the offset from the most stable computed form is 0.0315 eV per atom.

The space group is Pmma (No. 51) and the conventional cell measures 5.309, 5.044 and 10.337 Å, with angles of 90.00, 90.00 and 90.00 degrees. The inequivalent atoms are Sm at (0.250, 0.000, 0.108), Sm at (0.250, 0.000, 0.665), Sm at (0.250, 0.500, 0.363), Co at (0.250, 0.000, 0.388) and Sn at (0.250, 0.500, 0.868).



First-principles (PBE) data for crystalline Sm3CoSn2 at its relaxed geometry, as listed in Alexandria via LeMat-Bulk.

The space group is Pnma (No. 62) and the conventional cell measures 12.469, 4.363 and 11.812 Å, with angles of 90.00, 90.00 and 90.00 degrees. The inequivalent atoms are Sm at (0.053, 0.250, 0.130), Sm at (0.122, 0.750, 0.548), Sm at (0.237, 0.250, 0.790), Co at (0.130, 0.250, 0.366), Sn at (0.008, 0.750, 0.313) and Sn at (0.191, 0.750, 0.994).



First-principles (PBE) data for crystalline SmCo4Sn4 at its relaxed geometry, as listed in Alexandria via LeMat-Bulk.

The space group is P4_2/n (No. 86, origin choice 2) and the conventional cell measures 8.368, 8.368 and 5.145 Å, with angles of 90.00, 90.00 and 90.00 degrees. The inequivalent atoms are Sm at (0.250, 0.250, 0.250), Co at (0.062, 0.593, 0.645) and Sn at (0.099, 0.631, 0.146).



Record-wise DOS(E_F) values, in states/eV/f.u.: 20.521 4.413 3.019 9.971
Record-wise calculated total energy values, in eV per atom: -4.99 -5.32 -5.46 -5.43
Record-wise energy of formation values, in meV/atom: -374 -265 -585 35